## 1
Crystalline Cd2AsSe at its relaxed geometry. Source: the Alexandria database, functional PBE.

Properties
For the volume, the calculation gives 284 Å³ per cell.

Unit cell a=3.2645 b=3.2645 c=30.7521 alpha=90.00 beta=90.00 gamma=120.00
Space group R3m (No. 160, hexagonal axes)
One atom of each set of equivalent atoms:
Cd 0.0000 0.0000 0.0000 (multiplicity 3)
Cd 0.0000 0.0000 0.2540 (multiplicity 3)
As 0.0000 0.0000 0.5170 (multiplicity 3)
Se 0.0000 0.0000 0.7362 (multiplicity 3)

---

## 2
Crystalline Cd2AsSe at its relaxed geometry. Source: the Alexandria database, functional PBE.

Properties
For the volume, the calculation gives 176 Å³ per cell.

Unit cell a=4.740 b=4.740 c=7.846 alpha=90.00 beta=90.00 gamma=90.00
Space group I4/mmm (No. 139)
One atom of each set of equivalent atoms:
Cd 0.000 0.500 0.250 (multiplicity 4)
As 0.000 0.000 0.000 (multiplicity 2)
Se 0.000 0.000 0.500 (multiplicity 2)

---

Stability order, top to bottom: 2, 1